Entry 1:
# LaNd3TmTh, relaxed, DFT PBE-GGA
data_LaNd3TmTh
_chemical_formula_sum 'La2 Nd6 Tm2 Th2'
_symmetry_space_group_name_H-M 'P 1 21/m 1'
_symmetry_Int_Tables_number 11
_cell_length_a 8.172
_cell_length_b 5.147
_cell_length_c 10.307
_cell_angle_alpha 90.00
_cell_angle_beta 108.57
_cell_angle_gamma 90.00
loop_
_symmetry_equiv_pos_as_xyz
'x,y,z'
'-x,-y,-z'
'-x,y+1/2,-z'
'x,-y+1/2,z'
loop_
_atom_site_label
_atom_site_fract_x
_atom_site_fract_y
_atom_site_fract_z
La1 0.173 0.250 0.293
Nd1 0.175 0.750 0.545
Nd2 0.181 0.250 0.795
Nd3 0.182 0.750 0.045
Tm1 0.500 0.250 0.628
Th1 0.499 0.750 0.877
# Total energy, eV per atom: -5.15

***

Entry 2:
# La2Nd5TmTh, relaxed, DFT PBE-GGA
data_La2Nd5TmTh
_chemical_formula_sum 'La8 Nd20 Tm4 Th4'
_symmetry_space_group_name_H-M 'C m c m'
_symmetry_Int_Tables_number 63
_symmetry_space_group_name_Hall '-C 2c 2'
_cell_length_a 5.509
_cell_length_b 22.129
_cell_length_c 10.545
_cell_angle_alpha 90.00
_cell_angle_beta 90.00
_cell_angle_gamma 90.00
loop_
_atom_site_label
_atom_site_fract_x
_atom_site_fract_y
_atom_site_fract_z
La1 0.000 0.113 0.001
Nd1 0.000 0.001 0.750
Nd2 0.000 0.276 0.059
Nd3 0.000 0.371 0.750
Nd4 0.000 0.500 0.000
Tm1 0.000 0.397 0.250
Th1 0.000 0.209 0.750
# Total energy, eV per atom: -4.94

***

Entry 3:
# La2NdTm4Th, relaxed, DFT PBE-GGA
data_La2NdTm4Th
_chemical_formula_sum 'La2 Nd1 Tm4 Th1'
_symmetry_space_group_name_H-M 'P 1 2/m 1'
_symmetry_Int_Tables_number 10
_cell_length_a 5.162
_cell_length_b 5.160
_cell_length_c 9.799
_cell_angle_alpha 90.00
_cell_angle_beta 90.05
_cell_angle_gamma 90.00
loop_
_symmetry_equiv_pos_as_xyz
'x,y,z'
'-x,-y,-z'
'-x,y,-z'
'x,-y,z'
loop_
_atom_site_label
_atom_site_fract_x
_atom_site_fract_y
_atom_site_fract_z
La1 0.000 0.000 0.000
La2 0.500 0.500 0.500
Nd1 0.000 0.000 0.500
Tm1 0.000 0.500 0.245
Tm2 0.500 0.000 0.245
Th1 0.500 0.500 0.000
# Total energy, eV per atom: -4.96

***

Among the records above, which one has the highest total energy?
La2Nd5TmTh